Density functional theory data (PBE) for a geometry-optimized InNi2TeW structure.

POSCAR file:
```
InNi2TeW
1.0
4.763 0.000 0.000
0.000 4.763 0.000
0.000 0.000 5.278
Ni Te W In
2 1 1 1
direct
0.000 0.500 0.000
0.500 0.000 0.000
0.500 0.500 0.500
0.000 0.000 0.500
0.000 0.000 0.000
```

## Properties
Its uncorrected formation energy is 1.598 eV/atom. The value obtained for the total energy is -22.40 eV per formula unit. As for the space-group type: P4/mmm, No. 123.